Entry from the Alexandria database: VSOF2 after structural relaxation (GGA+U).

Unit cell a=4.682 b=4.682 c=3.418 alpha=90.00 beta=90.00 gamma=90.00
Space group P4/mmm (No. 123)
Unique sites:
V 0.000 0.000 0.000 (multiplicity 1)
S 0.500 0.500 0.500 (multiplicity 1)
O 0.500 0.500 0.000 (multiplicity 1)
F 0.000 0.500 0.500 (multiplicity 2)

Its distance to the lowest polymorph of the same formula is 17.56 kcal/mol of atoms. Its density of states at the Fermi level is 1.9 states/eV per cell. The calculation puts the total magnetic moment at 0.691 μB per atom.

=====

Entry from the Alexandria database: VSOF2 after structural relaxation (GGA+U).

Unit cell a=4.183 b=4.183 c=3.743 alpha=90.00 beta=90.00 gamma=90.00
Space group P4/mmm (No. 123)
Unique sites:
V 0.000 0.000 0.000 (multiplicity 1)
S 0.500 0.500 0.500 (multiplicity 1)
O 0.000 0.000 0.500 (multiplicity 1)
F 0.000 0.500 0.000 (multiplicity 2)

Its distance to the lowest polymorph of the same formula is 0.00 kcal/mol of atoms. Its density of states at the Fermi level is 2.5 states/eV per cell. The calculation puts the total magnetic moment at 0.200 μB per atom.

=====

Entry from the Alexandria database: VSO2F after structural relaxation (GGA+U).

Unit cell a=3.795 b=3.795 c=4.133 alpha=90.00 beta=90.00 gamma=90.00
Space group P4/mmm (No. 123)
Unique sites:
V 0.000 0.000 0.000 (multiplicity 1)
S 0.500 0.500 0.500 (multiplicity 1)
O 0.000 0.500 0.000 (multiplicity 2)
F 0.000 0.000 0.500 (multiplicity 1)

Its density of states at the Fermi level is 2.1 states/eV per cell. The calculation puts the total magnetic moment at 0.488 μB per atom. As for the total DFT energy (no corrections): -27.02 eV for the cell shown.